Material: Tm2TlZn
Method: DFT, GGA-PBEsol
State: optimized geometry

Geometry as CIF:
```
data_Tm2TlZn
_chemical_formula_sum 'Tm2 Tl1 Zn1'
_cell_length_a 5.061
_cell_length_b 5.061
_cell_length_c 5.061
_cell_angle_alpha 60.00
_cell_angle_beta 60.00
_cell_angle_gamma 60.00
_symmetry_space_group_name_H-M 'P 1'
_symmetry_Int_Tables_number 1
_symmetry_space_group_name_Hall 'P 1'
loop_
_atom_site_label
_atom_site_type_symbol
_atom_site_fract_x
_atom_site_fract_y
_atom_site_fract_z
Zn1 Zn 0.500 0.500 0.500
Tl1 Tl 0.000 0.000 0.000
Tm1 Tm 0.750 0.750 0.750
Tm2 Tm 0.250 0.250 0.250
```

Values from the calculation:
SG   Fm-3m
E_tot   -3.86 eV/atom
N(E_F)   3.55 states/eV/f.u.
Calculated formation energy   -0.353 eV/atom



Material: YTl2In
Method: DFT, GGA-PBEsol
State: optimized geometry

Geometry as CIF:
```
data_YTl2In
_chemical_formula_sum 'Y1 Tl2 In1'
_cell_length_a 5.314
_cell_length_b 5.314
_cell_length_c 5.314
_cell_angle_alpha 60.00
_cell_angle_beta 60.00
_cell_angle_gamma 60.00
_symmetry_space_group_name_H-M 'P 1'
_symmetry_Int_Tables_number 1
_symmetry_space_group_name_Hall 'P 1'
loop_
_atom_site_label
_atom_site_type_symbol
_atom_site_fract_x
_atom_site_fract_y
_atom_site_fract_z
Y1 Y 0.250 0.250 0.250
Tl1 Tl 0.000 0.000 0.000
Tl2 Tl 0.750 0.750 0.750
In1 In 0.500 0.500 0.500
```

Values from the calculation:
SG   F-43m
E_tot   -3.90 eV/atom
N(E_F)   2.73 states/eV/f.u.
Calculated formation energy   -0.136 eV/atom



Material: CsTl3Br
Method: DFT, GGA-PBEsol
State: optimized geometry

Geometry as CIF:
```
data_CsTl3Br
_chemical_formula_sum 'Cs1 Tl3 Br1'
_cell_length_a 6.070
_cell_length_b 6.070
_cell_length_c 6.070
_cell_angle_alpha 90.00
_cell_angle_beta 90.00
_cell_angle_gamma 90.00
_symmetry_space_group_name_H-M 'P 1'
_symmetry_Int_Tables_number 1
_symmetry_space_group_name_Hall 'P 1'
loop_
_atom_site_label
_atom_site_type_symbol
_atom_site_fract_x
_atom_site_fract_y
_atom_site_fract_z
Br1 Br 0.000 0.000 0.000
Tl1 Tl 0.000 0.500 0.000
Cs1 Cs 0.500 0.500 0.500
Tl2 Tl 0.500 0.000 0.000
Tl3 Tl 0.000 0.000 0.500
```

Values from the calculation:
SG   Pm-3m
E_tot   -2.22 eV/atom
ΔE_f (raw)   -0.08 eV/atom
N(E_F)   2.97 states/eV/f.u.